Here is a relaxed VGeP2O crystal from the Alexandria database. Energies are from GGA+U.

Results
For the density of states at the Fermi level, the calculation gives 4.54 states/eV/f.u. The energy relative to the lowest polymorph listed for this composition is 590 meV/atom. The crystal system is tetragonal.

Cell: 4.877 4.877 3.511 Å, 90.00 90.00 90.00°
Space group P4/mmm (No. 123)
Inequivalent atoms, fractional coordinates:
V: 0.000 0.000 0.000 (multiplicity 1)
Ge: 0.500 0.500 0.500 (multiplicity 1)
P: 0.000 0.500 0.500 (multiplicity 2)
O: 0.500 0.500 0.000 (multiplicity 1)